Record 1
A relaxed Pr6Sm5Th2 crystal, computed with PBE.

a = 3.661 Å, b = 11.778 Å, c = 21.315 Å
α = 90.00°, β = 90.00°, γ = 90.00°
Positions (direct):
Th1 0.000 0.191 0.766
Pr1 0.500 0.317 0.125
Th2 0.000 0.809 0.234
Th3 0.000 0.309 0.266
Sm1 0.500 0.815 0.083
Sm2 0.500 0.000 0.500
Sm3 0.500 0.185 0.917
Sm4 0.500 0.685 0.583
Pr2 0.000 0.568 0.146
Th4 0.000 0.691 0.734
Pr3 0.000 0.432 0.854
Pr4 0.000 0.416 0.562
Pr5 0.000 0.584 0.438
Sm5 0.500 0.937 0.793
Sm6 0.500 0.500 0.000
Sm7 0.500 0.315 0.417
Sm8 0.500 0.063 0.207
Pr6 0.000 0.932 0.646
Sm9 0.500 0.437 0.707
Pr7 0.500 0.683 0.875
Pr8 0.500 0.817 0.375
Sm10 0.500 0.563 0.293
Pr9 0.500 0.183 0.625
Pr10 0.000 0.068 0.354
Pr11 0.000 0.916 0.938
Pr12 0.000 0.084 0.062

Symmetry: Pbam (55)
Total magnetic moment: 0.00 μB/f.u.
Uncorrected energy: -5.043 eV/atom
Energy relative to the elements: 0.120 eV/atom

Record 2
A relaxed PrSmTh2 crystal, computed with PBE.

a = 3.610 Å, b = 3.610 Å, c = 12.039 Å
α = 81.38°, β = 81.38°, γ = 60.00°
Positions (direct):
Th1 0.084 0.084 0.748
Sm1 0.499 0.499 0.504
Pr1 0.668 0.668 0.995
Th2 0.249 0.249 0.253

Energy above the lowest structure with this stoichiometry: 0.033 eV per atom
Symmetry: R3m (160)
Total magnetic moment: 0.00 μB/f.u.
Uncorrected energy: -6.021 eV/atom
Energy relative to the elements: 0.064 eV/atom

Record 3
A relaxed Pr5Sm4Th crystal, computed with PBE.

a = 3.576 Å, b = 11.209 Å, c = 9.356 Å
α = 73.39°, β = 101.02°, γ = 90.00°
Positions (direct):
Pr1 0.205 0.400 0.410
Pr2 0.896 0.282 0.793
Sm1 0.093 0.188 0.185
Sm2 0.695 0.918 0.391
Pr3 0.795 0.600 0.590
Pr4 0.500 0.500 0.000
Th1 0.500 0.000 0.000
Sm3 0.305 0.082 0.609
Pr5 0.104 0.718 0.207
Sm4 0.907 0.812 0.815

Energy above the lowest structure with this stoichiometry: 0.000 eV per atom
Symmetry: C2/m (12)
Total magnetic moment: 0.00 μB/f.u.
Uncorrected energy: -4.935 eV/atom
Energy relative to the elements: 0.084 eV/atom

Record 4
A relaxed Pr6SmTh crystal, computed with PBE.

a = 5.207 Å, b = 5.207 Å, c = 10.425 Å
α = 90.00°, β = 90.00°, γ = 90.00°
Positions (direct):
Pr1 0.500 0.500 0.500
Pr2 0.500 0.000 0.254
Sm1 0.000 0.000 0.000
Pr3 0.500 0.500 0.000
Pr4 0.000 0.500 0.254
Th1 0.000 0.000 0.500
Pr5 0.000 0.500 0.746
Pr6 0.500 0.000 0.746

Energy above the lowest structure with this stoichiometry: 0.000 eV per atom
Symmetry: P4/mmm (123)
Total magnetic moment: 0.00 μB/f.u.
Uncorrected energy: -5.064 eV/atom
Energy relative to the elements: 0.038 eV/atom

Record 5
A relaxed Pr4SmTh2 crystal, computed with PBE.

a = 3.666 Å, b = 3.666 Å, c = 21.023 Å
α = 85.00°, β = 85.00°, γ = 60.00°
Positions (direct):
Pr1 0.381 0.381 0.858
Sm1 0.000 0.000 0.000
Th1 0.189 0.189 0.432
Pr2 0.097 0.097 0.710
Pr3 0.619 0.619 0.142
Pr4 0.903 0.903 0.290
Th2 0.811 0.811 0.568

Symmetry: R-3m (166)
Total magnetic moment: 0.00 μB/f.u.
Uncorrected energy: -5.486 eV/atom
Energy relative to the elements: 0.039 eV/atom

Record 6
A relaxed Pr6SmTh crystal, computed with PBE.

a = 6.886 Å, b = 6.715 Å, c = 6.988 Å
α = 89.97°, β = 60.25°, γ = 91.57°
Positions (direct):
Pr1 0.915 0.249 0.511
Th1 0.000 0.500 0.000
Sm1 0.000 0.000 0.000
Pr2 0.573 0.748 0.510
Pr3 0.427 0.252 0.490
Pr4 0.460 0.257 0.001
Pr5 0.540 0.743 0.999
Pr6 0.085 0.751 0.489

Energy above the lowest structure with this stoichiometry: 0.145 eV per atom
Symmetry: P-1 (2)
Total magnetic moment: 0.00 μB/f.u.
Uncorrected energy: -4.919 eV/atom
Energy relative to the elements: 0.183 eV/atom

Record 7
A relaxed Pr7Sm4Th crystal, computed with PBE.

a = 7.413 Å, b = 6.417 Å, c = 11.784 Å
α = 79.46°, β = 50.92°, γ = 90.00°
Positions (direct):
Pr1 0.082 0.276 0.670
Pr2 0.247 0.500 0.999
Pr3 0.500 0.000 0.000
Sm1 0.164 0.221 0.336
Pr4 0.328 0.781 0.672
Sm2 0.423 0.726 0.328
Sm3 0.836 0.779 0.664
Pr5 0.918 0.724 0.330
Th1 0.000 0.000 0.000
Sm4 0.577 0.274 0.672
Pr6 0.672 0.219 0.328
Pr7 0.753 0.500 0.001

Symmetry: P-1 (2)
Total magnetic moment: 0.00 μB/f.u.
Uncorrected energy: -4.956 eV/atom
Energy relative to the elements: 0.023 eV/atom

Record 8
A relaxed PrSm2Th crystal, computed with PBE.

a = 5.524 Å, b = 3.542 Å, c = 14.203 Å
α = 97.16°, β = 90.00°, γ = 90.00°
Positions (direct):
Th1 0.750 0.528 0.057
Sm1 0.250 0.346 0.692
Sm2 0.250 0.089 0.179
Sm3 0.750 0.654 0.308
Pr1 0.750 0.782 0.565
Sm4 0.750 0.911 0.821
Th2 0.250 0.472 0.943
Pr2 0.250 0.218 0.435

Energy above the lowest structure with this stoichiometry: 0.066 eV per atom
Symmetry: Cmcm (63)
Total magnetic moment: 0.00 μB/f.u.
Uncorrected energy: -5.324 eV/atom
Energy relative to the elements: 0.085 eV/atom

Record 9
A relaxed PrSm2Th crystal, computed with PBE.

a = 3.620 Å, b = 3.620 Å, c = 10.390 Å
α = 90.00°, β = 90.00°, γ = 90.00°
Positions (direct):
Sm1 0.000 0.000 0.237
Sm2 0.000 0.000 0.763
Th1 0.500 0.500 0.000
Pr1 0.500 0.500 0.500

Energy above the lowest structure with this stoichiometry: 0.008 eV per atom
Symmetry: P4/mmm (123)
Total magnetic moment: 0.00 μB/f.u.
Uncorrected energy: -5.382 eV/atom
Energy relative to the elements: 0.027 eV/atom

Record 10
A relaxed Pr2Sm3Th crystal, computed with PBE.

a = 6.300 Å, b = 8.973 Å, c = 10.956 Å
α = 56.85°, β = 54.85°, γ = 61.94°
Positions (direct):
Sm1 0.962 0.869 0.209
Sm2 0.621 0.880 0.879
Pr1 0.797 0.378 0.040
Pr2 0.203 0.622 0.960
Sm3 0.379 0.120 0.121
Sm4 0.115 0.381 0.378
Th1 0.461 0.376 0.704
Pr3 0.297 0.866 0.541
Th2 0.539 0.624 0.296
Sm5 0.038 0.131 0.791
Pr4 0.703 0.134 0.459
Sm6 0.885 0.619 0.622

Energy above the lowest structure with this stoichiometry: 0.000 eV per atom
Symmetry: P-1 (2)
Total magnetic moment: 0.00 μB/f.u.
Uncorrected energy: -5.150 eV/atom
Energy relative to the elements: 0.039 eV/atom

Record 11
A relaxed Pr2Sm2Th15 crystal, computed with PBE.

a = 8.790 Å, b = 8.790 Å, c = 8.790 Å
α = 82.19°, β = 82.19°, γ = 82.19°
Positions (direct):
Th1 0.307 0.693 0.000
Sm1 0.102 0.102 0.102
Th2 0.824 0.343 0.343
Sm2 0.898 0.898 0.898
Th3 0.000 0.693 0.307
Pr1 0.651 0.651 0.651
Th4 0.657 0.176 0.657
Th5 0.500 0.000 0.000
Th6 0.000 0.000 0.500
Th7 0.343 0.824 0.343
Th8 0.693 0.307 0.000
Th9 0.307 0.000 0.693
Pr2 0.349 0.349 0.349
Th10 0.000 0.500 0.000
Th11 0.000 0.307 0.693
Th12 0.176 0.657 0.657
Th13 0.693 0.000 0.307
Th14 0.343 0.343 0.824
Th15 0.657 0.657 0.176

Symmetry: R-3m (166)
Total magnetic moment: 0.00 μB/f.u.
Uncorrected energy: -6.591 eV/atom
Energy relative to the elements: 0.266 eV/atom

Record 12
A relaxed Pr8Sm6Th crystal, computed with PBE.

a = 8.870 Å, b = 8.870 Å, c = 8.870 Å
α = 63.36°, β = 63.36°, γ = 63.36°
Positions (direct):
Pr1 0.422 0.422 0.422
Sm1 0.902 0.461 0.758
Pr2 0.885 0.284 0.245
Th1 0.000 0.000 0.000
Pr3 0.115 0.716 0.755
Sm2 0.758 0.902 0.461
Sm3 0.539 0.242 0.098
Pr4 0.578 0.578 0.578
Pr5 0.284 0.245 0.885
Pr6 0.245 0.885 0.284
Pr7 0.716 0.755 0.115
Sm4 0.242 0.098 0.539
Sm5 0.098 0.539 0.242
Pr8 0.755 0.115 0.716
Sm6 0.461 0.758 0.902

Symmetry: R-3 (148)
Total magnetic moment: 0.00 μB/f.u.
Uncorrected energy: -4.816 eV/atom
Energy relative to the elements: 0.116 eV/atom

The records above yield calculated volume values of 35.3 33.5 35.2 35.3 34.8 35.1 35.2 34.5 34.0 34.4 34.8 35.3 Å³/atom, respectively.